Y3Be4Ir4 | Alexandria via LeMat-Bulk | PBE | relaxed; N(E_F) = 8.30 states/eV per cell; crystal system = cubic; energy = -76.00 eV/cell
1.0
-3.5349 3.5349 3.5349
3.5349 -3.5349 3.5349
3.5349 3.5349 -3.5349
Y Be Ir
3 4 4
Direct
0.0000 0.5000 0.5000
0.5000 0.0000 0.5000
0.5000 0.5000 0.0000
0.0000 0.0000 0.7769
0.0000 0.7769 0.0000
0.2231 0.2231 0.2231
0.7769 0.0000 0.0000
0.0000 0.0000 0.4034
0.0000 0.4034 0.0000
0.4034 0.0000 0.0000
0.5966 0.5966 0.5966